No. 1
Density functional theory data (SCAN) for a crystal of SbAsIBr2 relaxed with PBEsol.

Values from the calculation:
The value obtained for the magnetization is 0.243 μB/atom. The raw total energy comes out at -132.0 eV/f.u. The calculated volume is 32.254 Å³ per atom.

Cell lengths 5.269, 5.269, 5.810 Å; angles 90.00, 90.00, 90.00 degrees
Space group P4/mmm (No. 123)
Unique sites:
Sb1 0.000 0.000 0.000 [1 per cell]
As1 0.000 0.000 0.500 [1 per cell]
I1 0.500 0.500 0.500 [1 per cell]
Br1 0.000 0.500 0.000 [2 per cell]

=====

No. 2
Density functional theory data (SCAN) for a crystal of SbAs2IBr relaxed with PBEsol.

Values from the calculation:
The value obtained for the magnetization is 0.290 μB/atom. The raw total energy comes out at -130.7 eV/f.u. The calculated volume is 30.398 Å³ per atom.

Cell lengths 5.355, 5.355, 5.299 Å; angles 90.00, 90.00, 90.00 degrees
Space group P4/mmm (No. 123)
Unique sites:
Sb1 0.000 0.000 0.000 [1 per cell]
As1 0.000 0.500 0.000 [2 per cell]
I1 0.500 0.500 0.500 [1 per cell]
Br1 0.000 0.000 0.500 [1 per cell]

=====

No. 3
Density functional theory data (SCAN) for a crystal of AsSeIBr2 relaxed with PBEsol.

Values from the calculation:
The value obtained for the magnetization is 0.000 μB/atom. The raw total energy comes out at -115.0 eV/f.u. The calculated volume is 27.823 Å³ per atom.

Cell lengths 5.028, 5.028, 5.502 Å; angles 90.00, 90.00, 90.00 degrees
Space group P4/mmm (No. 123)
Unique sites:
As1 0.000 0.000 0.000 [1 per cell]
Se1 0.000 0.000 0.500 [1 per cell]
I1 0.500 0.500 0.500 [1 per cell]
Br1 0.000 0.500 0.000 [2 per cell]

=====

No. 4
Density functional theory data (SCAN) for a crystal of SiAsIBr2 relaxed with PBEsol.

Values from the calculation:
The value obtained for the magnetization is 0.000 μB/atom. The raw total energy comes out at -104.6 eV/f.u. The calculated volume is 25.338 Å³ per atom.

Cell lengths 4.838, 4.838, 5.413 Å; angles 90.00, 90.00, 90.00 degrees
Space group P4/mmm (No. 123)
Unique sites:
Si1 0.000 0.000 0.000 [1 per cell]
As1 0.000 0.000 0.500 [1 per cell]
I1 0.500 0.500 0.500 [1 per cell]
Br1 0.000 0.500 0.000 [2 per cell]

=====

No. 5
Density functional theory data (SCAN) for a crystal of TeAsI2Br relaxed with PBEsol.

Values from the calculation:
The value obtained for the magnetization is 0.344 μB/atom. The calculated volume is 33.153 Å³ per atom. The value obtained for the relative energy among the computed polymorphs is 0 meV per atom.

Cell lengths 5.481, 5.481, 5.517 Å; angles 90.00, 90.00, 90.00 degrees
Space group P4/mmm (No. 123)
Unique sites:
Te1 0.000 0.000 0.000 [1 per cell]
As1 0.000 0.000 0.500 [1 per cell]
I1 0.000 0.500 0.500 [2 per cell]
Br1 0.500 0.500 0.000 [1 per cell]

=====

No. 6
Density functional theory data (SCAN) for a crystal of TeAs2IBr relaxed with PBEsol.

Values from the calculation:
The value obtained for the magnetization is 0.000 μB/atom. The raw total energy comes out at -128.4 eV/f.u. The calculated volume is 30.864 Å³ per atom.

Cell lengths 5.416, 5.416, 5.262 Å; angles 90.00, 90.00, 90.00 degrees
Space group P4/mmm (No. 123)
Unique sites:
Te1 0.000 0.000 0.000 [1 per cell]
As1 0.000 0.500 0.500 [2 per cell]
I1 0.500 0.500 0.500 [1 per cell]
Br1 0.500 0.500 0.000 [1 per cell]

=====

No. 7
Density functional theory data (SCAN) for a crystal of TeAsI2Br relaxed with PBEsol.

Values from the calculation:
The value obtained for the magnetization is 0.328 μB/atom. The calculated volume is 36.695 Å³ per atom. The value obtained for the relative energy among the computed polymorphs is 648 meV per atom.

Cell lengths 5.720, 5.720, 5.607 Å; angles 90.00, 90.00, 90.00 degrees
Space group P4/mmm (No. 123)
Unique sites:
Te1 0.000 0.000 0.000 [1 per cell]
As1 0.500 0.500 0.000 [1 per cell]
I1 0.000 0.500 0.500 [2 per cell]
Br1 0.000 0.000 0.500 [1 per cell]

=====

No. 8
Density functional theory data (SCAN) for a crystal of TeAsIBr2 relaxed with PBEsol.

Values from the calculation:
The value obtained for the magnetization is 0.000 μB/atom. The raw total energy comes out at -131.5 eV/f.u. The calculated volume is 32.315 Å³ per atom.

Cell lengths 5.323, 5.323, 5.702 Å; angles 90.00, 90.00, 90.00 degrees
Space group P4/mmm (No. 123)
Unique sites:
Te1 0.000 0.000 0.000 [1 per cell]
As1 0.000 0.000 0.500 [1 per cell]
I1 0.500 0.500 0.500 [1 per cell]
Br1 0.000 0.500 0.000 [2 per cell]

=====

> Number 4 is which compound?

SiAsIBr2